# CrCoNi2

A relaxed CrCoNi2 crystal (PBEsol, the Alexandria database).

Unit cell a=4.238 b=4.238 c=4.238 alpha=131.75 beta=131.75 gamma=70.62
Positions (direct):
Cr1 0.000 0.000 0.000
Co1 0.750 0.250 0.500
Ni1 0.250 0.750 0.500
Ni2 0.500 0.500 0.000

Results
* theoretical density: 9.1 Mg/m³
* E_form: 0.005 eV per atom
* space group: I-4m2 (119)


# CaWCl3

A relaxed CaWCl3 crystal (PBEsol, the Alexandria database).

Unit cell a=4.797 b=4.797 c=4.797 alpha=90.00 beta=90.00 gamma=90.00
Positions (direct):
Ca1 0.000 0.000 0.000
W1 0.500 0.500 0.500
Cl1 0.000 0.500 0.500
Cl2 0.500 0.000 0.500
Cl3 0.500 0.500 0.000

Results
* theoretical density: 5.0 Mg/m³
* space group: Pm-3m (221)
* energy relative to the elements, uncorrected: -25.9 kJ per mole of atoms


# TiGa2AgRu

A relaxed TiGa2AgRu crystal (PBEsol, the Alexandria database).

Unit cell a=4.521 b=4.521 c=4.984 alpha=90.00 beta=90.00 gamma=90.00
Positions (direct):
Ti1 0.000 0.000 0.000
Ga1 0.000 0.500 0.500
Ga2 0.500 0.000 0.500
Ag1 0.500 0.500 0.500
Ru1 0.500 0.500 0.000

Results
* theoretical density: 6.5 Mg/m³
* E_form: 1.154 eV per atom
* space group: P4/mmm (123)


# FeNiN2

A relaxed FeNiN2 crystal (PBEsol, the Alexandria database).

Unit cell a=3.537 b=3.537 c=3.537 alpha=60.00 beta=60.00 gamma=60.00
Positions (direct):
Fe1 0.000 0.000 0.000
Ni1 0.500 0.500 0.500
N1 0.250 0.250 0.250
N2 0.750 0.750 0.750

Results
* theoretical density: 7.6 Mg/m³
* space group: Fm-3m (225)
* energy above the lowest structure with this stoichiometry: 829 meV per atom
* energy relative to the elements, uncorrected: 72.5 kJ per mole of atoms


# Sc7Cl10

A relaxed Sc7Cl10 crystal (PBEsol, the Alexandria database).

Unit cell a=9.475 b=9.475 c=12.141 alpha=92.34 beta=92.34 gamma=21.26
Positions (direct):
Sc1 0.000 0.000 0.000
Sc2 0.185 0.185 0.530
Sc3 0.311 0.311 0.709
Sc4 0.333 0.333 0.249
Sc5 0.667 0.667 0.751
Sc6 0.689 0.689 0.291
Sc7 0.815 0.815 0.470
Cl1 0.100 0.100 0.354
Cl2 0.107 0.107 0.874
Cl3 0.217 0.217 0.142
Cl4 0.414 0.414 0.409
Cl5 0.440 0.440 0.882
Cl6 0.560 0.560 0.118
Cl7 0.586 0.586 0.591
Cl8 0.783 0.783 0.858
Cl9 0.893 0.893 0.126
Cl10 0.900 0.900 0.646

Results
* theoretical density: 2.8 Mg/m³
* space group: C2/m (12)
* energy relative to the elements, uncorrected: -166.0 kJ per mole of atoms


# OsRu2Cl

A relaxed OsRu2Cl crystal (PBEsol, the Alexandria database).

Unit cell a=2.787 b=3.899 c=5.183 alpha=90.00 beta=104.90 gamma=90.00
Positions (direct):
Os1 0.000 0.000 0.000
Ru1 0.366 0.500 0.743
Ru2 0.634 0.500 0.257
Cl1 0.000 0.000 0.500

Results
* theoretical density: 13.1 Mg/m³
* space group: P2/m (10)
* energy above the lowest structure with this stoichiometry: 192 meV per atom
* energy relative to the elements, uncorrected: 62.7 kJ per mole of atoms


# HfZn2Co

A relaxed HfZn2Co crystal (PBEsol, the Alexandria database).

Unit cell a=4.292 b=4.292 c=4.292 alpha=60.00 beta=60.00 gamma=60.00
Positions (direct):
Hf1 0.000 0.000 0.000
Zn1 0.250 0.250 0.250
Zn2 0.750 0.750 0.750
Co1 0.500 0.500 0.500

Results
* theoretical density: 10.9 Mg/m³
* E_form: -0.121 eV per atom
* space group: Fm-3m (225)


# AlTlW

A relaxed AlTlW crystal (PBEsol, the Alexandria database).

Unit cell a=4.685 b=4.685 c=2.768 alpha=90.00 beta=90.00 gamma=120.00
Positions (direct):
Al1 0.000 0.000 0.000
Tl1 0.667 0.333 0.991
W1 0.333 0.667 0.495

Results
* theoretical density: 13.1 Mg/m³
* E_form: 0.738 eV per atom
* space group: P3m1 (156)


# Cd4Cu3

A relaxed Cd4Cu3 crystal (PBEsol, the Alexandria database).

Unit cell a=11.775 b=11.775 c=11.775 alpha=164.73 beta=164.73 gamma=21.66
Positions (direct):
Cd1 0.068 0.068 0.000
Cd2 0.344 0.344 0.000
Cd3 0.656 0.656 0.000
Cd4 0.932 0.932 0.000
Cu1 0.225 0.225 0.000
Cu2 0.500 0.500 0.000
Cu3 0.775 0.775 0.000

Results
* theoretical density: 9.4 Mg/m³
* E_form: 0.040 eV per atom
* space group: I4/mmm (139)
* energy above the lowest structure with this stoichiometry: 0 meV per atom


# Co2BiS2

A relaxed Co2BiS2 crystal (PBEsol, the Alexandria database).

Unit cell a=7.591 b=7.591 c=3.080 alpha=90.00 beta=90.00 gamma=90.00
Positions (direct):
Co1 0.230 0.270 0.000
Co2 0.270 0.770 0.000
Co3 0.730 0.230 0.000
Co4 0.770 0.730 0.000
Bi1 0.000 0.000 0.500
Bi2 0.500 0.500 0.500
S1 0.140 0.640 0.500
S2 0.360 0.140 0.500
S3 0.640 0.860 0.500
S4 0.860 0.360 0.500

Results
* theoretical density: 7.3 Mg/m³
* space group: P4/mbm (127)
* energy relative to the elements, uncorrected: 28.0 kJ per mole of atoms


# LaFeMo

A relaxed LaFeMo crystal (PBEsol, the Alexandria database).

Unit cell a=3.913 b=3.913 c=4.665 alpha=90.00 beta=90.00 gamma=120.00
Positions (direct):
La1 0.000 0.000 0.000
Fe1 0.667 0.333 0.460
Mo1 0.333 0.667 0.520

Results
* theoretical density: 7.8 Mg/m³
* E_form: 0.342 eV per atom
* space group: P3m1 (156)
* energy above the lowest structure with this stoichiometry: 0 meV per atom


# FeNiAu2

A relaxed FeNiAu2 crystal (PBEsol, the Alexandria database).

Unit cell a=2.777 b=2.777 c=7.276 alpha=90.00 beta=90.00 gamma=90.00
Positions (direct):
Fe1 0.000 0.000 0.000
Ni1 0.500 0.500 0.193
Au1 0.000 0.000 0.443
Au2 0.500 0.500 0.744

Results
* theoretical density: 15.0 Mg/m³
* E_form: 0.074 eV per atom
* space group: P4mm (99)
* energy above the lowest structure with this stoichiometry: 0 meV per atom